[1]
## Bi2SbOsC (SCAN)

Data for a PBEsol-optimized structure of Bi2SbOsC.

abc: 3.896 5.242 5.242
angles: 90.00 90.00 90.00
Sites, in units of the cell vectors:
Sb 0.500 0.500 0.500
C 0.000 0.000 0.000
Os 0.500 0.000 0.000
Bi 0.000 0.000 0.500
Bi 0.000 0.500 0.000

Calculated values
calculated volume: 21.4 Å³/atom
space group: P4/mmm (123)
DFT total energy: -54.27 eV/atom
D(E_F): 2.4 states/eV per cell
formation energy without anion corrections: 1.009 eV/atom

=====

[2]
## Cu2TeI (SCAN)

Data for a PBEsol-optimized structure of Cu2TeI.

abc: 5.883 5.883 7.159
angles: 114.26 114.26 90.00
Sites, in units of the cell vectors:
I 0.250 0.750 0.500
I 0.000 0.000 0.000
Te 0.750 0.250 0.500
Te 0.500 0.500 0.000
Cu 0.388 0.875 0.250
Cu 0.862 0.375 0.250
Cu 0.125 0.138 0.750
Cu 0.625 0.612 0.750

Calculated values
calculated volume: 25.2 Å³/atom
space group: I-42d (122)
DFT total energy: -26.15 eV/atom
D(E_F): 5.4 states/eV per cell
formation energy without anion corrections: -0.052 eV/atom

=====

[3]
## ZrBeOs2 (SCAN)

Data for a PBEsol-optimized structure of ZrBeOs2.

abc: 2.788 2.788 7.781
angles: 90.00 90.00 111.35
Sites, in units of the cell vectors:
Be 0.500 0.500 0.000
Os 0.000 0.000 0.215
Os 0.000 0.000 0.785
Zr 0.500 0.500 0.500

Calculated values
calculated volume: 14.1 Å³/atom
space group: Cmmm (65)
DFT total energy: -44.72 eV/atom
D(E_F): 2.7 states/eV per cell
E_form: -16 meV per atom

=====

[4]
## ZrMo2As (SCAN)

Data for a PBEsol-optimized structure of ZrMo2As.

abc: 2.922 2.922 8.394
angles: 90.00 90.00 110.46
Sites, in units of the cell vectors:
Mo 0.000 0.000 0.003
Mo 0.500 0.500 0.764
As 0.500 0.500 0.239
Zr 0.000 0.000 0.495

Calculated values
calculated volume: 16.8 Å³/atom
space group: Cmm2 (35)
DFT total energy: -30.21 eV/atom
D(E_F): 2.3 states/eV per cell
E_form: -43 meV per atom

=====

[5]
## ZnGaAs2 (SCAN)

Data for a PBEsol-optimized structure of ZnGaAs2.

abc: 5.655 5.655 6.846
angles: 114.40 114.40 90.00
Sites, in units of the cell vectors:
As 0.378 0.875 0.250
As 0.872 0.375 0.250
As 0.125 0.128 0.750
As 0.625 0.622 0.750
Zn 0.750 0.250 0.500
Zn 0.500 0.500 0.000
Ga 0.250 0.750 0.500
Ga 0.000 0.000 0.000

Calculated values
calculated volume: 22.2 Å³/atom
space group: I-42d (122)
DFT total energy: -17.73 eV/atom
D(E_F): 4.1 states/eV per cell
E_form: -174 meV per atom

=====

[6]
## UOs2 (SCAN)

Data for a PBEsol-optimized structure of UOs2.

abc: 5.384 5.384 8.150
angles: 90.00 90.00 120.00
Sites, in units of the cell vectors:
Os 0.172 0.345 0.750
Os 0.172 0.828 0.750
Os 0.345 0.172 0.250
Os 0.828 0.655 0.250
Os 0.655 0.828 0.750
Os 0.000 0.000 0.000
Os 0.828 0.172 0.250
Os 0.000 0.000 0.500
U 0.333 0.667 0.411
U 0.667 0.333 0.589
U 0.667 0.333 0.911
U 0.333 0.667 0.089

Calculated values
calculated volume: 17.1 Å³/atom
space group: P6_3/mmc (194)
DFT total energy: -82.53 eV/atom
D(E_F): 18.4 states/eV per cell
E_form: -100 meV per atom

=====

[7]
## SnB2As (SCAN)

Data for a PBEsol-optimized structure of SnB2As.

abc: 5.056 5.056 6.075
angles: 114.59 114.59 90.00
Sites, in units of the cell vectors:
As 0.750 0.250 0.500
As 0.500 0.500 0.000
B 0.410 0.875 0.250
B 0.840 0.375 0.250
B 0.125 0.160 0.750
B 0.625 0.590 0.750
Sn 0.250 0.750 0.500
Sn 0.000 0.000 0.000

Calculated values
calculated volume: 15.7 Å³/atom
space group: I-42d (122)
DFT total energy: -17.35 eV/atom
D(E_F): 3.2 states/eV per cell
E_form: 396 meV per atom

=====

[8]
## Nd2CuSi3Rh2 (SCAN)

Data for a PBEsol-optimized structure of Nd2CuSi3Rh2.

abc: 4.069 4.069 8.757
angles: 103.43 90.00 90.00
Sites, in units of the cell vectors:
Nd 0.000 0.103 0.207
Nd 0.500 0.896 0.792
Cu 0.000 0.466 0.931
Si 0.500 0.533 0.066
Si 0.000 0.325 0.651
Si 0.500 0.676 0.352
Rh 0.000 0.751 0.501
Rh 0.500 0.250 0.500

Calculated values
calculated volume: 17.6 Å³/atom
space group: Amm2 (38)
DFT total energy: -26.01 eV/atom
D(E_F): 3.6 states/eV per cell
formation energy without anion corrections: -1.015 eV/atom

=====

[9]
## TaAlNi2 (SCAN)

Data for a PBEsol-optimized structure of TaAlNi2.

abc: 2.734 4.373 4.373
angles: 90.15 90.00 90.00
Sites, in units of the cell vectors:
Ni 0.000 0.500 0.000
Ni 0.000 0.000 0.500
Al 0.500 0.500 0.500
Ta 0.500 0.000 0.000

Calculated values
calculated volume: 13.1 Å³/atom
space group: Cmmm (65)
DFT total energy: -27.05 eV/atom
D(E_F): 2.7 states/eV per cell
E_form: -383 meV per atom

=====

[10]
## Li2InAs2 (SCAN)

Data for a PBEsol-optimized structure of Li2InAs2.

abc: 2.819 7.978 7.978
angles: 90.00 90.00 90.00
Sites, in units of the cell vectors:
As 0.000 0.328 0.828
As 0.000 0.828 0.672
As 0.000 0.672 0.172
As 0.000 0.172 0.328
Li 0.500 0.124 0.624
Li 0.500 0.624 0.876
Li 0.500 0.876 0.376
Li 0.500 0.376 0.124
In 0.000 0.000 0.000
In 0.000 0.500 0.500

Calculated values
calculated volume: 17.9 Å³/atom
space group: P4/mbm (127)
DFT total energy: -16.12 eV/atom
energy relative to the lowest polymorph listed for this composition: 0 meV per atom
D(E_F): 2.4 states/eV per cell
E_form: -410 meV per atom

=====

[11]
## AlSiPt2 (SCAN)

Data for a PBEsol-optimized structure of AlSiPt2.

abc: 2.999 4.308 4.829
angles: 100.06 90.00 110.37
Sites, in units of the cell vectors:
Si 0.000 0.000 0.500
Al 0.500 0.000 0.000
Pt 0.751 0.503 0.747
Pt 0.249 0.497 0.253

Calculated values
calculated volume: 14.4 Å³/atom
space group: C2/m (12)
DFT total energy: -40.25 eV/atom
D(E_F): 1.5 states/eV per cell
formation energy without anion corrections: -0.713 eV/atom

=====

[12]
## MgAsCl2 (SCAN)

Data for a PBEsol-optimized structure of MgAsCl2.

abc: 4.010 4.419 4.419
angles: 90.00 90.00 90.00
Sites, in units of the cell vectors:
As 0.500 0.000 0.000
Cl 0.000 0.000 0.500
Cl 0.000 0.500 0.000
Mg 0.500 0.500 0.500

Calculated values
calculated volume: 19.6 Å³/atom
space group: P4/mmm (123)
DFT total energy: -10.48 eV/atom
energy relative to the lowest polymorph listed for this composition: 598 meV per atom
D(E_F): 2.6 states/eV per cell
formation energy without anion corrections: -0.196 eV/atom

=====

[13]
## TaOs2PtS (SCAN)

Data for a PBEsol-optimized structure of TaOs2PtS.

abc: 4.732 4.732 4.797
angles: 90.00 90.00 90.00
Sites, in units of the cell vectors:
S 0.500 0.500 0.500
Os 0.000 0.500 0.000
Os 0.500 0.000 0.000
Pt 0.000 0.000 0.500
Ta 0.000 0.000 0.000

Calculated values
calculated volume: 21.5 Å³/atom
space group: P4/mmm (123)
DFT total energy: -55.78 eV/atom
D(E_F): 4.1 states/eV per cell
formation energy without anion corrections: 2.255 eV/atom

=====

[14]
## RuRh2W (SCAN)

Data for a PBEsol-optimized structure of RuRh2W.

abc: 2.718 4.644 4.671
angles: 109.02 90.00 90.00
Sites, in units of the cell vectors:
Rh 0.000 0.000 0.000
Rh 0.500 0.500 0.000
Ru 0.500 0.000 0.500
W 0.000 0.500 0.500

Calculated values
calculated volume: 13.9 Å³/atom
space group: P2/m (10)
DFT total energy: -43.07 eV/atom
energy relative to the lowest polymorph listed for this composition: 147 meV per atom
D(E_F): 3.5 states/eV per cell
E_form: -52 meV per atom

=====

[15]
## Ba8Ta2Ru3Br2O18 (SCAN)

Data for a PBEsol-optimized structure of Ba8Ta2Ru3Br2O18.

abc: 5.838 5.838 20.031
angles: 81.62 81.62 60.00
Sites, in units of the cell vectors:
Ba 0.558 0.558 0.325
Ba 0.442 0.442 0.675
Ba 0.630 0.630 0.110
Ba 0.370 0.370 0.890
Ba 0.812 0.812 0.563
Ba 0.188 0.188 0.437
Ba 0.743 0.743 0.772
Ba 0.257 0.257 0.228
Ta 0.917 0.917 0.249
Ta 0.083 0.083 0.751
Ru 0.500 0.500 0.500
Ru 0.869 0.869 0.392
Ru 0.131 0.131 0.608
Br 0.687 0.687 0.938
Br 0.313 0.313 0.062
O 0.958 0.958 0.674
O 0.411 0.958 0.674
O 0.958 0.411 0.674
O 0.042 0.042 0.326
O 0.589 0.042 0.326
O 0.042 0.589 0.326
O 0.234 0.234 0.795
O 0.738 0.234 0.795
O 0.234 0.738 0.795
O 0.766 0.766 0.205
O 0.262 0.766 0.205
O 0.766 0.262 0.205
O 0.683 0.683 0.444
O 0.190 0.683 0.444
O 0.683 0.190 0.444
O 0.317 0.317 0.556
O 0.810 0.317 0.556
O 0.317 0.810 0.556

Calculated values
calculated volume: 17.7 Å³/atom
space group: R-3m (166)
DFT total energy: -23.98 eV/atom
D(E_F): 4.2 states/eV per cell
formation energy without anion corrections: -2.611 eV/atom

=====

[16]
## Mg2CoMo (SCAN)

Data for a PBEsol-optimized structure of Mg2CoMo.

abc: 2.819 4.553 5.401
angles: 114.93 105.13 90.00
Sites, in units of the cell vectors:
Co 0.500 0.000 0.000
Mg 0.777 0.777 0.555
Mg 0.223 0.223 0.445
Mo 0.000 0.500 0.000

Calculated values
calculated volume: 15.1 Å³/atom
space group: Immm (71)
DFT total energy: -15.21 eV/atom
energy relative to the lowest polymorph listed for this composition: 0 meV per atom
D(E_F): 2.4 states/eV per cell
E_form: 324 meV per atom

=====

[17]
## MgBeS2 (SCAN)

Data for a PBEsol-optimized structure of MgBeS2.

abc: 5.358 5.358 6.263
angles: 115.32 115.32 90.00
Sites, in units of the cell vectors:
Be 0.750 0.250 0.500
Be 0.500 0.500 0.000
S 0.426 0.875 0.250
S 0.824 0.375 0.250
S 0.125 0.176 0.750
S 0.625 0.574 0.750
Mg 0.250 0.750 0.500
Mg 0.000 0.000 0.000

Calculated values
calculated volume: 17.9 Å³/atom
space group: I-42d (122)
DFT total energy: -8.54 eV/atom
energy relative to the lowest polymorph listed for this composition: 0 meV per atom
D(E_F): 0.0 states/eV per cell
formation energy without anion corrections: -1.397 eV/atom

=====

[18]
## TlMoPb (SCAN)

Data for a PBEsol-optimized structure of TlMoPb.

abc: 3.578 3.578 5.525
angles: 108.89 108.89 90.00
Sites, in units of the cell vectors:
Mo 0.996 0.996 0.992
Pb 0.348 0.348 0.696
Tl 0.656 0.656 0.312

Calculated values
calculated volume: 21.0 Å³/atom
space group: I4mm (107)
DFT total energy: -60.21 eV/atom
D(E_F): 2.0 states/eV per cell
E_form: 800 meV per atom

=====

[19]
## ZnTe2NCl (SCAN)

Data for a PBEsol-optimized structure of ZnTe2NCl.

abc: 3.546 5.528 5.528
angles: 90.00 90.00 90.00
Sites, in units of the cell vectors:
N 0.500 0.000 0.000
Zn 0.000 0.000 0.000
Te 0.000 0.000 0.500
Te 0.000 0.500 0.000
Cl 0.500 0.500 0.500

Calculated values
calculated volume: 21.7 Å³/atom
space group: P4/mmm (123)
DFT total energy: -20.27 eV/atom
energy relative to the lowest polymorph listed for this composition: 0 meV per atom
D(E_F): 3.8 states/eV per cell
formation energy without anion corrections: 0.787 eV/atom

=====

[20]
## KCl (SCAN)

Data for a PBEsol-optimized structure of KCl.

abc: 3.735 3.735 3.735
angles: 90.00 90.00 90.00
Sites, in units of the cell vectors:
K 0.000 0.000 0.000
Cl 0.500 0.500 0.500

Calculated values
calculated volume: 26.0 Å³/atom
space group: Pm-3m (221)
DFT total energy: -10.29 eV/atom
D(E_F): 0.0 states/eV per cell
formation energy without anion corrections: -2.137 eV/atom

=====

[21]
## Mo2IrOs (SCAN)

Data for a PBEsol-optimized structure of Mo2IrOs.

abc: 3.874 3.874 4.748
angles: 114.08 114.08 90.00
Sites, in units of the cell vectors:
Mo 0.750 0.250 0.500
Mo 0.250 0.750 0.500
Ir 0.500 0.500 0.000
Os 0.000 0.000 0.000

Calculated values
calculated volume: 14.5 Å³/atom
space group: I4/mmm (139)
DFT total energy: -53.36 eV/atom
energy relative to the lowest polymorph listed for this composition: 0 meV per atom
D(E_F): 2.8 states/eV per cell
E_form: -176 meV per atom

=====

[22]
## MnF4 (SCAN)

Data for a PBEsol-optimized structure of MnF4.

abc: 2.892 4.685 9.139
angles: 90.00 90.00 90.00
Sites, in units of the cell vectors:
Mn 0.000 0.000 0.000
Mn 0.000 0.500 0.500
F 0.000 0.279 0.127
F 0.000 0.779 0.373
F 0.500 0.170 0.902
F 0.500 0.330 0.402
F 0.500 0.670 0.598
F 0.500 0.830 0.098
F 0.000 0.221 0.627
F 0.000 0.721 0.873

Calculated values
calculated volume: 12.4 Å³/atom
space group: Pbam (55)
DFT total energy: -8.95 eV/atom
D(E_F): 0.0 states/eV per cell
formation energy without anion corrections: -2.465 eV/atom

=====

[23]
## Re2Mo (SCAN)

Data for a PBEsol-optimized structure of Re2Mo.

abc: 2.751 2.751 6.243
angles: 102.73 102.73 90.00
Sites, in units of the cell vectors:
Mo 0.500 0.500 0.000
Re 0.172 0.172 0.345
Re 0.828 0.828 0.655

Calculated values
calculated volume: 15.0 Å³/atom
space group: I4/mmm (139)
DFT total energy: -58.92 eV/atom
energy relative to the lowest polymorph listed for this composition: 0 meV per atom
D(E_F): 1.8 states/eV per cell
E_form: 110 meV per atom

=====

[24]
## Zr2TaGaGe (SCAN)

Data for a PBEsol-optimized structure of Zr2TaGaGe.

abc: 4.411 4.945 4.945
angles: 90.00 90.00 90.00
Sites, in units of the cell vectors:
Ge 0.000 0.000 0.000
Ga 0.500 0.000 0.000
Zr 0.000 0.000 0.500
Zr 0.000 0.500 0.000
Ta 0.500 0.500 0.500

Calculated values
calculated volume: 21.6 Å³/atom
space group: P4/mmm (123)
DFT total energy: -32.07 eV/atom
D(E_F): 3.1 states/eV per cell
E_form: 611 meV per atom

=====

[25]
## In4SiPb (SCAN)

Data for a PBEsol-optimized structure of In4SiPb.

abc: 6.009 6.009 6.009
angles: 60.00 60.00 60.00
Sites, in units of the cell vectors:
In 0.375 0.375 0.375
In 0.375 0.375 0.876
In 0.876 0.375 0.375
In 0.375 0.876 0.375
Pb 0.750 0.750 0.750
Si 0.000 0.000 0.000

Calculated values
calculated volume: 25.6 Å³/atom
space group: F-43m (216)
DFT total energy: -36.11 eV/atom
D(E_F): 2.4 states/eV per cell
formation energy without anion corrections: 0.452 eV/atom